GGA-PBE TcSb3F, optimized geometry; total DFT energy (no corrections) = -4.82 eV/atom; polymorph energy (0 for the lowest one) = 0.0 meV per atom
1.0
5.1422 0.0000 0.0000
0.0000 5.1422 0.0000
0.0000 0.0000 5.1422
Tc Sb F
1 3 1
direct
0.0000 0.0000 0.0000
0.0000 0.0000 0.5000
0.0000 0.5000 0.0000
0.5000 0.0000 0.0000
0.5000 0.5000 0.5000

***

GGA-PBE NdTlInSe3, optimized geometry; total DFT energy (no corrections) = -4.31 eV/atom
1.0
8.6849 0.0000 0.0000
0.0000 4.7580 0.0000
-2.2194 0.0000 9.6025
Nd Tl In Se
2 2 2 6
direct
0.1703 0.2500 0.1352
0.8297 0.7500 0.8648
0.2914 0.7500 0.7841
0.7086 0.2500 0.2159
0.3895 0.7500 0.4059
0.6105 0.2500 0.5941
0.0401 0.2500 0.8388
0.2701 0.2500 0.4612
0.3949 0.7500 0.1323
0.6051 0.2500 0.8677
0.7299 0.7500 0.5388
0.9599 0.7500 0.1612

***

GGA-PBE Zr2HgRuS, optimized geometry; total DFT energy (no corrections) = -4.77 eV/atom
1.0
5.2412 0.0000 0.0000
0.0000 5.2412 0.0000
0.0000 0.0000 4.8835
Zr Hg Ru S
2 1 1 1
direct
0.0000 0.5000 0.0000
0.5000 0.0000 0.0000
0.0000 0.0000 0.0000
0.0000 0.0000 0.5000
0.5000 0.5000 0.5000

***

GGA-PBE SiAg5, optimized geometry; total DFT energy (no corrections) = -2.91 eV/atom; polymorph energy (0 for the lowest one) = 242.4 meV per atom
1.0
0.0000 3.8570 3.8570
3.8570 0.0000 3.8570
3.8570 3.8570 0.0000
Si Ag
1 5
direct
0.0000 0.0000 0.0000
0.3750 0.3750 0.3750
0.3750 0.3750 0.8750
0.3750 0.8750 0.3750
0.7500 0.7500 0.7500
0.8750 0.3750 0.3750

***

GGA-PBE TbBe2Ni5, optimized geometry; total DFT energy (no corrections) = -5.45 eV/atom; formation enthalpy at 0 K = -0.33 eV/atom
1.0
-1.7774 3.1041 4.4075
1.7774 -3.1041 4.4075
1.7774 3.1041 -4.4075
Tb Be Ni
1 2 5
direct
0.0000 0.0000 0.0000
0.2659 0.7659 0.5000
0.7341 0.2341 0.5000
0.1568 0.3491 0.8077
0.4585 0.6509 0.8077
0.5000 0.0000 0.5000
0.5415 0.3491 0.1923
0.8432 0.6509 0.1923

***

GGA-PBE LaYCoSi2, optimized geometry; total DFT energy (no corrections) = -4.50 eV/atom
1.0
5.2339 0.0000 0.0000
0.0000 5.2339 0.0000
0.0000 0.0000 5.6439
La Y Co Si
1 1 1 2
direct
0.0000 0.0000 0.0000
0.0000 0.0000 0.5000
0.5000 0.5000 0.0000
0.0000 0.5000 0.5000
0.5000 0.0000 0.5000

***

GGA-PBE CdICl2, optimized geometry; total DFT energy (no corrections) = -2.22 eV/atom; polymorph energy (0 for the lowest one) = 84.7 meV per atom
1.0
1.8626 1.0754 12.0477
-1.8626 1.0754 12.0477
0.0000 -2.1507 12.0477
Cd I Cl
1 1 2
direct
0.0000 0.0000 0.0000
0.5000 0.5000 0.5000
0.3758 0.3758 0.3758
0.6242 0.6242 0.6242

***

GGA-PBE Sm2HoPb, optimized geometry; total DFT energy (no corrections) = -4.59 eV/atom; polymorph energy (0 for the lowest one) = 148.3 meV per atom; formation enthalpy at 0 K = -0.15 eV/atom
1.0
1.8199 1.0507 11.1181
-1.8199 1.0507 11.1181
0.0000 -2.1015 11.1181
Sm Ho Pb
2 1 1
direct
0.0000 0.0000 0.0000
0.1714 0.1714 0.1714
0.4189 0.4189 0.4189
0.5854 0.5854 0.5854

***

GGA-PBE CeHoMo, optimized geometry; total DFT energy (no corrections) = -6.95 eV/atom; formation enthalpy at 0 K = 0.16 eV/atom
1.0
6.1413 -2.3156 0.0000
6.1413 2.3156 0.0000
-0.8020 0.0000 5.5242
Ce Ho Mo
2 2 2
direct
0.0923 0.0923 0.2887
0.9077 0.9077 0.7113
0.3697 0.3697 0.1515
0.6303 0.6303 0.8485
0.2358 0.2358 0.6234
0.7642 0.7642 0.3766

***

GGA-PBE CeDyEr2S6, optimized geometry; total DFT energy (no corrections) = -6.47 eV/atom
1.0
3.4787 2.0084 6.1618
-3.4787 2.0084 6.1618
0.0000 -4.0169 6.1618
Ce Dy Er S
1 1 2 6
direct
0.0000 0.0000 0.0000
0.4948 0.4948 0.4948
0.2929 0.2929 0.2929
0.7961 0.7961 0.7961
0.0867 0.6743 0.4170
0.1919 0.5848 0.8996
0.4170 0.0867 0.6743
0.5848 0.8996 0.1919
0.6743 0.4170 0.0867
0.8996 0.1919 0.5848

***

GGA-PBE LaTbPm5Y2, optimized geometry; total DFT energy (no corrections) = -4.99 eV/atom; formation enthalpy at 0 K = 0.15 eV/atom
1.0
2.8687 -10.1200 0.0000
2.8687 10.1200 0.0000
0.0000 0.0000 10.6945
La Tb Pm Y
2 2 10 4
direct
0.0835 0.9165 0.5000
0.9165 0.0835 0.0000
0.2985 0.7015 0.0580
0.7015 0.2985 0.5580
0.0203 0.9797 0.7884
0.1120 0.8880 0.0719
0.2038 0.7962 0.7530
0.2183 0.7817 0.3603
0.4819 0.5181 0.0725
0.5181 0.4819 0.5725
0.7817 0.2183 0.8603
0.7962 0.2038 0.2530
0.8880 0.1120 0.5719
0.9797 0.0203 0.2884
0.3841 0.6159 0.3694
0.3874 0.6126 0.7802
0.6126 0.3874 0.2802
0.6159 0.3841 0.8694

***

GGA-PBE Li3Ag2Cl6, optimized geometry; total DFT energy (no corrections) = -3.17 eV/atom; polymorph energy (0 for the lowest one) = 0.0 meV per atom
1.0
3.2720 -5.6611 0.0000
3.2720 5.6611 0.0000
-1.8468 0.0000 6.1925
Li Ag Cl
3 2 6
direct
0.0000 0.0000 0.0000
0.3369 0.6631 0.0000
0.6631 0.3369 0.0000
0.1607 0.8393 0.5000
0.8393 0.1607 0.5000
0.0442 0.3915 0.2341
0.2606 0.2606 0.7851
0.3915 0.0442 0.2341
0.6085 0.9558 0.7659
0.7394 0.7394 0.2149
0.9558 0.6085 0.7659

***

GGA-PBE KMgCr2, optimized geometry; total DFT energy (no corrections) = -4.33 eV/atom; formation enthalpy at 0 K = 1.15 eV/atom
1.0
3.3452 0.0000 0.0000
0.0000 5.3876 0.0000
0.0000 0.0000 5.6061
K Mg Cr
1 1 2
direct
0.0000 0.0000 0.0000
0.5000 0.0000 0.5000
0.0000 0.5000 0.5000
0.5000 0.5000 0.0000

***

GGA-PBE BaSc2TcAu, optimized geometry; total DFT energy (no corrections) = -5.41 eV/atom; formation enthalpy at 0 K = 0.24 eV/atom
1.0
4.9844 0.0000 0.0000
0.0000 4.9844 0.0000
0.0000 0.0000 5.8667
Ba Sc Tc Au
1 2 1 1
direct
0.0000 0.0000 0.0000
0.0000 0.5000 0.5000
0.5000 0.0000 0.5000
0.0000 0.0000 0.5000
0.5000 0.5000 0.0000

***

GGA-PBE HoEr2UN4, optimized geometry; total DFT energy (no corrections) = -8.95 eV/atom
1.0
5.9332 0.0000 0.0000
0.0000 3.4319 0.0000
-1.9338 0.0000 5.6132
Ho Er U N
1 2 1 4
direct
0.0000 0.0000 0.0000
0.5000 0.0000 0.5000
0.5000 0.5000 0.0000
0.0000 0.5000 0.5000
0.2409 0.5000 0.2615
0.2447 0.0000 0.7433
0.7553 0.0000 0.2567
0.7591 0.5000 0.7385

***

GGA-PBE BePt2Rh, optimized geometry; total DFT energy (no corrections) = -6.05 eV/atom; formation enthalpy at 0 K = -0.26 eV/atom
1.0
1.3753 0.7940 8.3306
-1.3753 0.7940 8.3306
0.0000 -1.5881 8.3306
Be Pt Rh
1 2 1
direct
0.0000 0.0000 0.0000
0.5034 0.5034 0.5034
0.7383 0.7383 0.7383
0.2630 0.2630 0.2630

***

GGA-PBE Np3AsSe2, optimized geometry; total DFT energy (no corrections) = -9.36 eV/atom
1.0
-2.0604 2.9044 6.1466
2.0604 -2.9044 6.1466
2.0604 2.9044 -6.1466
Np As Se
3 1 2
direct
0.0000 0.0000 0.0000
0.3350 0.3350 0.0000
0.6650 0.6650 0.0000
0.5000 0.0000 0.5000
0.1671 0.6671 0.5000
0.8329 0.3329 0.5000

***

GGA-PBE GdDyIr, optimized geometry; total DFT energy (no corrections) = -9.74 eV/atom; polymorph energy (0 for the lowest one) = 115.7 meV per atom; formation enthalpy at 0 K = -0.55 eV/atom
1.0
4.1210 0.0000 0.0000
-2.0605 3.5689 0.0000
0.0000 0.0000 6.1402
Gd Dy Ir
1 1 1
direct
0.0000 0.0000 0.0000
0.3333 0.6667 0.4626
0.6667 0.3333 0.2348

***

GGA-PBE PmAuN, optimized geometry; total DFT energy (no corrections) = -5.85 eV/atom; polymorph energy (0 for the lowest one) = 507.3 meV per atom
1.0
-1.8447 1.8447 8.5038
1.8447 -1.8447 8.5038
1.8447 1.8447 -8.5038
Pm Au N
2 2 2
direct
0.0931 0.0931 0.0000
0.9069 0.9069 0.0000
0.2918 0.2918 0.0000
0.7082 0.7082 0.0000
0.0000 0.5000 0.5000
0.5000 0.0000 0.5000

***

GGA-PBE Ba2SrDy, optimized geometry; total DFT energy (no corrections) = -2.36 eV/atom; polymorph energy (0 for the lowest one) = 0.0 meV per atom; formation enthalpy at 0 K = 0.17 eV/atom
1.0
4.4379 0.0000 0.0000
0.0000 4.4379 0.0000
0.0000 0.0000 10.3150
Ba Sr Dy
2 1 1
direct
0.0000 0.0000 0.2170
0.0000 0.0000 0.7830
0.5000 0.5000 0.5000
0.5000 0.5000 0.0000